# 1
{
  "formula": "Tb5PrDy2Sc",
  "functional": "GGA-PBE",
  "state": "optimized geometry",
  "lattice": [[2.798, -9.895, 0.000], [2.798, 9.895, 0.000], [0.000, 0.000, 10.411]],
  "species": ["Tb", "Tb", "Tb", "Tb", "Tb", "Tb", "Tb", "Tb", "Tb", "Tb", "Pr", "Pr", "Dy", "Dy", "Dy", "Dy", "Sc", "Sc"],
  "frac_coords": [[0.018, 0.982, 0.500], [0.277, 0.723, 0.802], [0.298, 0.702, 0.186], [0.376, 0.624, 0.501], [0.481, 0.519, 0.220], [0.519, 0.481, 0.720], [0.624, 0.376, 0.001], [0.702, 0.298, 0.686], [0.723, 0.277, 0.302], [0.982, 0.018, 0.000], [0.413, 0.587, 0.935], [0.587, 0.413, 0.435], [0.112, 0.888, 0.795], [0.114, 0.886, 0.215], [0.886, 0.114, 0.715], [0.888, 0.112, 0.295], [0.196, 0.804, 0.495], [0.804, 0.196, 0.995]],
  "total_magnetization_mub_per_cell": 0.00,
  "sg": "Cmc2_1, No. 36",
  "e_form_ev_per_atom": 0.170
}

---

# 2
{
  "formula": "TbPrDy5Sc2",
  "functional": "GGA-PBE",
  "state": "optimized geometry",
  "lattice": [[2.804, -10.774, 0.000], [2.804, 10.774, 0.000], [0.000, 0.000, 9.340]],
  "species": ["Tb", "Tb", "Pr", "Pr", "Dy", "Dy", "Dy", "Dy", "Dy", "Dy", "Dy", "Dy", "Dy", "Dy", "Sc", "Sc", "Sc", "Sc"],
  "frac_coords": [[0.096, 0.904, 0.500], [0.904, 0.096, 0.000], [0.315, 0.685, 0.899], [0.685, 0.315, 0.399], [0.032, 0.968, 0.169], [0.108, 0.892, 0.872], [0.192, 0.808, 0.198], [0.234, 0.766, 0.585], [0.492, 0.508, 0.900], [0.508, 0.492, 0.400], [0.766, 0.234, 0.085], [0.808, 0.192, 0.698], [0.892, 0.108, 0.372], [0.968, 0.032, 0.669], [0.361, 0.639, 0.220], [0.387, 0.613, 0.591], [0.613, 0.387, 0.091], [0.639, 0.361, 0.720]],
  "total_magnetization_mub_per_cell": 0.00,
  "sg": "Cmc2_1, No. 36",
  "e_form_ev_per_atom": 0.170
}

---

# 3
{
  "formula": "Tb6PrDy3Sc2",
  "functional": "GGA-PBE",
  "state": "optimized geometry",
  "lattice": [[3.049, -5.277, 0.000], [3.049, 5.277, 0.000], [-2.022, 0.000, 11.491]],
  "species": ["Tb", "Tb", "Tb", "Tb", "Tb", "Tb", "Pr", "Dy", "Dy", "Dy", "Sc", "Sc"],
  "frac_coords": [[0.081, 0.417, 0.753], [0.246, 0.246, 0.247], [0.417, 0.081, 0.753], [0.583, 0.919, 0.247], [0.754, 0.754, 0.753], [0.919, 0.583, 0.247], [0.500, 0.500, 0.000], [0.000, 0.000, 0.500], [0.333, 0.667, 0.500], [0.667, 0.333, 0.500], [0.167, 0.833, 0.000], [0.833, 0.167, 0.000]],
  "total_magnetization_mub_per_cell": 0.00,
  "sg": "C2/m, No. 12",
  "e_form_ev_per_atom": 0.036
}

---

# 4
{
  "formula": "TbPr6Dy2Sc",
  "functional": "GGA-PBE",
  "state": "optimized geometry",
  "lattice": [[5.151, -3.792, 0.000], [5.151, 3.792, 0.000], [-1.926, 0.000, 8.837]],
  "species": ["Tb", "Pr", "Pr", "Pr", "Pr", "Pr", "Pr", "Dy", "Dy", "Sc"],
  "frac_coords": [[0.000, 0.000, 0.000], [0.150, 0.586, 0.218], [0.159, 0.159, 0.445], [0.414, 0.850, 0.782], [0.586, 0.150, 0.218], [0.841, 0.841, 0.555], [0.850, 0.414, 0.782], [0.369, 0.369, 0.862], [0.631, 0.631, 0.138], [0.500, 0.500, 0.500]],
  "total_magnetization_mub_per_cell": 0.00,
  "sg": "C2/m, No. 12",
  "e_form_ev_per_atom": 0.216
}

---

# 5
{
  "formula": "TbPr2Dy2Sc2",
  "functional": "GGA-PBE",
  "state": "optimized geometry",
  "lattice": [[11.542, 0.000, 0.000], [0.000, 3.462, 0.000], [-2.674, 0.000, 10.985]],
  "species": ["Tb", "Tb", "Pr", "Pr", "Pr", "Pr", "Dy", "Dy", "Dy", "Dy", "Sc", "Sc", "Sc", "Sc"],
  "frac_coords": [[0.000, 0.000, 0.000], [0.500, 0.500, 0.000], [0.236, 0.000, 0.856], [0.264, 0.500, 0.144], [0.736, 0.500, 0.856], [0.764, 0.000, 0.144], [0.032, 0.500, 0.295], [0.468, 0.000, 0.705], [0.532, 0.000, 0.295], [0.968, 0.500, 0.705], [0.146, 0.000, 0.550], [0.354, 0.500, 0.450], [0.646, 0.500, 0.550], [0.854, 0.000, 0.450]],
  "total_magnetization_mub_per_cell": 0.00,
  "sg": "C2/m, No. 12",
  "e_form_ev_per_atom": 0.134
}

---

# 6
{
  "formula": "Pr2DyScTe4",
  "functional": "GGA-PBE",
  "state": "optimized geometry",
  "lattice": [[7.539, 0.000, 0.000], [0.000, 4.327, 0.000], [-2.489, 0.000, 7.384]],
  "species": ["Pr", "Pr", "Dy", "Sc", "Te", "Te", "Te", "Te"],
  "frac_coords": [[0.000, 0.000, 0.000], [0.500, 0.500, 0.000], [0.000, 0.500, 0.500], [0.500, 0.000, 0.500], [0.250, 0.000, 0.731], [0.265, 0.500, 0.274], [0.735, 0.500, 0.726], [0.750, 0.000, 0.269]],
  "total_magnetization_mub_per_cell": 0.00,
  "sg": "P2/m, No. 10",
  "raw_formation_energy_ev_per_atom": -1.310
}

---

# 7
{
  "formula": "PrDyScTe3",
  "functional": "GGA-PBE",
  "state": "optimized geometry",
  "lattice": [[8.834, 0.000, 0.000], [0.000, 4.322, 0.000], [-2.521, 0.000, 9.622]],
  "species": ["Pr", "Pr", "Dy", "Dy", "Sc", "Sc", "Te", "Te", "Te", "Te", "Te", "Te"],
  "frac_coords": [[0.178, 0.250, 0.237], [0.822, 0.750, 0.763], [0.331, 0.750, 0.835], [0.669, 0.250, 0.165], [0.089, 0.250, 0.594], [0.911, 0.750, 0.406], [0.098, 0.250, 0.886], [0.262, 0.750, 0.501], [0.421, 0.750, 0.161], [0.579, 0.250, 0.839], [0.738, 0.250, 0.499], [0.902, 0.750, 0.114]],
  "total_magnetization_mub_per_cell": 2.23,
  "sg": "P2_1/m, No. 11",
  "raw_formation_energy_ev_per_atom": -1.213
}

---

# 8
{
  "formula": "Pr3DySc2Te6",
  "functional": "GGA-PBE",
  "state": "optimized geometry",
  "lattice": [[9.621, -2.162, 0.000], [9.621, 2.162, 0.000], [-2.318, 0.000, 8.582]],
  "species": ["Pr", "Pr", "Pr", "Dy", "Sc", "Sc", "Te", "Te", "Te", "Te", "Te", "Te"],
  "frac_coords": [[0.000, 0.000, 0.000], [0.338, 0.338, 0.672], [0.662, 0.662, 0.328], [0.000, 0.000, 0.500], [0.333, 0.333, 0.168], [0.667, 0.667, 0.832], [0.166, 0.166, 0.600], [0.173, 0.173, 0.066], [0.491, 0.491, 0.255], [0.509, 0.509, 0.745], [0.827, 0.827, 0.934], [0.834, 0.834, 0.400]],
  "total_magnetization_mub_per_cell": 0.00,
  "sg": "C2/m, No. 12",
  "raw_formation_energy_ev_per_atom": -1.296
}

---

# 9
{
  "formula": "Pr3Dy6Th2Sc",
  "functional": "GGA-PBE",
  "state": "optimized geometry",
  "lattice": [[3.086, -5.343, 0.000], [3.086, 5.343, 0.000], [-2.058, 0.000, 11.638]],
  "species": ["Pr", "Pr", "Pr", "Dy", "Dy", "Dy", "Dy", "Dy", "Dy", "Th", "Th", "Sc"],
  "frac_coords": [[0.000, 0.000, 0.000], [0.334, 0.666, 0.000], [0.666, 0.334, 0.000], [0.086, 0.420, 0.258], [0.247, 0.247, 0.743], [0.420, 0.086, 0.258], [0.580, 0.914, 0.742], [0.753, 0.753, 0.257], [0.914, 0.580, 0.742], [0.166, 0.834, 0.500], [0.834, 0.166, 0.500], [0.500, 0.500, 0.500]],
  "total_magnetization_mub_per_cell": 0.00,
  "sg": "C2/m, No. 12",
  "e_form_ev_per_atom": 0.026
}

---

# 10
{
  "formula": "PrDy2ThSc",
  "functional": "GGA-PBE",
  "state": "optimized geometry",
  "lattice": [[7.844, 0.000, 0.000], [0.000, 5.024, 0.000], [-0.073, 0.000, 7.900]],
  "species": ["Pr", "Pr", "Dy", "Dy", "Dy", "Dy", "Th", "Th", "Sc", "Sc"],
  "frac_coords": [[0.249, 0.250, 0.245], [0.751, 0.750, 0.755], [0.159, 0.750, 0.946], [0.347, 0.750, 0.549], [0.653, 0.250, 0.451], [0.841, 0.250, 0.054], [0.055, 0.250, 0.650], [0.945, 0.750, 0.350], [0.449, 0.250, 0.849], [0.551, 0.750, 0.151]],
  "total_magnetization_mub_per_cell": 0.00,
  "sg": "P2_1/m, No. 11",
  "e_form_ev_per_atom": 0.060
}